1.
# PBE K2LiAsCl6, optimized geometry
data_K2LiAsCl6
_chemical_formula_sum 'K4 Li2 As2 Cl12'
_space_group_name_H-M_alt 'P m m n'
_space_group_IT_number 59
_cell_length_a 7.1771
_cell_length_b 10.1533
_cell_length_c 7.1743
_cell_angle_alpha 90.00
_cell_angle_beta 90.00
_cell_angle_gamma 90.00
loop_
_space_group_symop_operation_xyz
'x,y,z'
'-x,-y,-z'
'-x+1/2,-y+1/2,z'
'x+1/2,y+1/2,-z'
'x+1/2,-y,-z'
'-x+1/2,y,z'
'-x,y+1/2,-z'
'x,-y+1/2,z'
loop_
_atom_site_label
_atom_site_fract_x
_atom_site_fract_y
_atom_site_fract_z
K1 0.2500 0.0002 0.2483
Li1 0.2500 0.2500 0.7499
As1 0.2500 0.7500 0.7498
Cl1 0.0030 0.7500 0.5040
Cl2 0.0033 0.7500 0.9974
Cl3 0.2500 0.5033 0.7498
# ΔE_f (raw): -1.4044 eV per atom

=====

2.
# PBE LiIn2GaNi, optimized geometry
data_LiIn2GaNi
_chemical_formula_sum 'Li1 In2 Ga1 Ni1'
_space_group_name_H-M_alt 'P 4/m m m'
_space_group_IT_number 123
_space_group_name_Hall '-P 4 2'
_cell_length_a 4.9569
_cell_length_b 4.9569
_cell_length_c 4.5939
_cell_angle_alpha 90.00
_cell_angle_beta 90.00
_cell_angle_gamma 90.00
loop_
_atom_site_label
_atom_site_fract_x
_atom_site_fract_y
_atom_site_fract_z
Li1 0.0000 0.0000 0.0000
In1 0.0000 0.5000 0.5000
Ga1 0.5000 0.5000 0.0000
Ni1 0.5000 0.5000 0.5000
# Formation enthalpy at 0 K: -0.072 eV/atom

=====

3.
# PBE PmFeSi3Ni, optimized geometry
data_PmFeSi3Ni
_chemical_formula_sum 'Pm4 Fe4 Si12 Ni4'
_space_group_name_H-M_alt 'C m c m'
_space_group_IT_number 63
_space_group_name_Hall '-C 2c 2'
_cell_length_a 6.0360
_cell_length_b 11.8823
_cell_length_c 5.6372
_cell_angle_alpha 90.00
_cell_angle_beta 90.00
_cell_angle_gamma 90.00
loop_
_atom_site_label
_atom_site_fract_x
_atom_site_fract_y
_atom_site_fract_z
Pm1 0.0000 0.2412 0.2500
Fe1 0.0000 0.0348 0.7500
Si1 0.0000 0.2113 0.7500
Si2 0.2086 0.5000 0.0000
Ni1 0.0000 0.3896 0.7500
# ΔE_f (raw): -0.3800 eV per atom

=====

4.
# PBE Ba2ZrScSe, optimized geometry
data_Ba2ZrScSe
_chemical_formula_sum 'Ba2 Zr1 Sc1 Se1'
_space_group_name_H-M_alt 'P 4/m m m'
_space_group_IT_number 123
_space_group_name_Hall '-P 4 2'
_cell_length_a 6.2723
_cell_length_b 6.2723
_cell_length_c 4.9648
_cell_angle_alpha 90.00
_cell_angle_beta 90.00
_cell_angle_gamma 90.00
loop_
_atom_site_label
_atom_site_fract_x
_atom_site_fract_y
_atom_site_fract_z
Ba1 0.0000 0.5000 0.0000
Zr1 0.0000 0.0000 0.5000
Sc1 0.0000 0.0000 0.0000
Se1 0.5000 0.5000 0.5000
# ΔE_f (raw): 0.4922 eV per atom

=====

5.
# PBE HOs2Rh, optimized geometry
data_HOs2Rh
_chemical_formula_sum 'H4 Os8 Rh4'
_space_group_name_H-M_alt 'F m -3 m'
_space_group_IT_number 225
_space_group_name_Hall '-F 4 2 3'
_cell_length_a 5.8801
_cell_length_b 5.8801
_cell_length_c 5.8801
_cell_angle_alpha 90.00
_cell_angle_beta 90.00
_cell_angle_gamma 90.00
loop_
_atom_site_label
_atom_site_fract_x
_atom_site_fract_y
_atom_site_fract_z
H1 0.0000 0.0000 0.0000
Os1 0.2500 0.2500 0.2500
Rh1 0.0000 0.0000 0.5000
# DFT total energy: -7.2672 eV/atom

=====

6.
# PBE Sm2ErMg5Cd2, optimized geometry
data_Sm2ErMg5Cd2
_chemical_formula_sum 'Sm4 Er2 Mg10 Cd4'
_space_group_name_H-M_alt 'P 4/m b m'
_space_group_IT_number 127
_space_group_name_Hall '-P 4 2ab'
_cell_length_a 10.4734
_cell_length_b 10.4734
_cell_length_c 4.7004
_cell_angle_alpha 90.00
_cell_angle_beta 90.00
_cell_angle_gamma 90.00
loop_
_atom_site_label
_atom_site_fract_x
_atom_site_fract_y
_atom_site_fract_z
Sm1 0.1794 0.3206 0.0000
Er1 0.0000 0.0000 0.0000
Mg1 0.0000 0.5000 0.5000
Mg2 0.0600 0.7904 0.5000
Cd1 0.1159 0.6159 0.0000
# Formation enthalpy at 0 K: -0.151 eV/atom

=====

Listing density of states at the Fermi level for the structures above in their given order: 0.000, 0.437, 0.581, 1.168, 1.134, 0.610 states/eV/atom.